Entry from the Alexandria database: TaTi2N4 after structural relaxation (PBE).

POSCAR file:
```
TaTi2N4
1.0
-0.242 1.853 -2.234
-3.820 -3.353 -0.468
-5.865 5.908 5.536
Ta Ti N
2 4 8
direct
0.627 0.254 0.750 Ta
0.373 0.746 0.250 Ta
0.127 0.253 0.429 Ti
0.873 0.747 0.929 Ti
0.127 0.253 0.071 Ti
0.873 0.747 0.571 Ti
0.774 0.549 0.122 N
0.774 0.549 0.378 N
0.226 0.451 0.878 N
0.226 0.451 0.622 N
0.971 0.943 0.750 N
0.029 0.057 0.250 N
0.500 0.000 0.000 N
0.500 0.000 0.500 N
```

Results
DFT total energy ... -140.184 eV for the cell shown
Density of states at the Fermi level ... 0.229 states/eV/atom
Raw formation energy ... -126.1 kJ/mol of atoms